[1]
Here is Cr2WBr after structural relaxation from Alexandria. Energies are from GGA-PBE.

Total magnetization   4.741 μB/cell
Relative energy among the computed polymorphs   0.134 eV per atom
Space-group type   No. 166

a b c (Å): 8.1392 8.1392 8.1392
angles (deg): 22.24 22.24 22.24
With the nearest neighbours (Å) after each atom.
Fractional positions:
Br1 0.7500 0.7500 0.7500  6 Cr 2.79
Cr1 0.5059 0.5059 0.5059  3 W 2.59, 3 Br 2.79
Cr2 0.9941 0.9941 0.9941  3 W 2.59, 3 Br 2.79
W1 0.2500 0.2500 0.2500  6 Cr 2.59


[2]
Here is CrW2Br after structural relaxation from Alexandria. Energies are from GGA-PBE.

Total magnetization   0.000 μB/cell
Relative energy among the computed polymorphs   0.694 eV per atom
Space-group type   No. 225

a b c (Å): 4.4333 4.4333 4.4333
angles (deg): 60.00 60.00 60.00
With the nearest neighbours (Å) after each atom.
Fractional positions:
Cr1 0.0000 0.0000 0.0000  8 W 2.71
W1 0.2500 0.2500 0.2500  4 Cr 2.71, 4 Br 2.71
W2 0.7500 0.7500 0.7500  4 Cr 2.71, 4 Br 2.71
Br1 0.5000 0.5000 0.5000  8 W 2.71


[3]
Here is CrWBr3 after structural relaxation from Alexandria. Energies are from GGA-PBE.

Total magnetization   8.425 μB/cell
Relative energy among the computed polymorphs   0.000 eV per atom
Space-group type   No. 221

a b c (Å): 5.2366 5.2366 5.2366
angles (deg): 90.00 90.00 90.00
With the nearest neighbours (Å) after each atom.
Fractional positions:
Br1 0.0000 0.0000 0.5000  2 W 2.62
Br2 0.0000 0.5000 0.0000  2 W 2.62
Br3 0.5000 0.0000 0.0000  2 W 2.62
Cr1 0.5000 0.5000 0.5000  12 Br 3.70
W1 0.0000 0.0000 0.0000  6 Br 2.62


[4]
Here is CrW2Br after structural relaxation from Alexandria. Energies are from GGA-PBE.

Total magnetization   1.428 μB/cell
Relative energy among the computed polymorphs   0.446 eV per atom
Space-group type   No. 71

a b c (Å): 5.4188 5.4188 5.4188
angles (deg): 147.32 131.49 59.72
With the nearest neighbours (Å) after each atom.
Fractional positions:
Br1 0.7500 0.2500 0.5000  4 Cr 2.70, 4 W 2.77
W1 0.5046 0.5046 0.0000  4 W 2.70, 2 Br 2.77, 2 Cr 2.84
W2 0.9954 0.9954 0.0000  4 W 2.70, 2 Br 2.77, 2 Cr 2.84
Cr1 0.2500 0.7500 0.5000  4 Br 2.70, 4 W 2.84


[5]
Here is Cr2WBr after structural relaxation from Alexandria. Energies are from GGA-PBE.

Total magnetization   3.770 μB/cell
Relative energy among the computed polymorphs   0.727 eV per atom
Space-group type   No. 139

a b c (Å): 4.6919 4.6919 4.6919
angles (deg): 127.59 127.59 77.28
With the nearest neighbours (Å) after each atom.
Fractional positions:
W1 0.2500 0.7500 0.5000  8 Cr 2.77, 4 Br 2.93
Br1 0.7500 0.2500 0.5000  8 Cr 2.77, 4 W 2.93
Cr1 0.5000 0.5000 0.0000  4 W 2.77, 4 Br 2.77, 4 Cr 2.93
Cr2 0.0000 0.0000 0.0000  4 Br 2.77, 4 W 2.77, 4 Cr 2.93


[6]
Here is Cr2W2Br after structural relaxation from Alexandria. Energies are from GGA-PBE.

Total magnetization   4.150 μB/cell
Relative energy among the computed polymorphs   0.000 eV per atom
Space-group type   No. 127

a b c (Å): 7.4272 7.4272 3.0089
angles (deg): 90.00 90.00 90.00
With the nearest neighbours (Å) after each atom.
Fractional positions:
Br1 0.0000 0.0000 0.0000  4 W 2.86, 2 Br 3.01
Br2 0.5000 0.5000 0.0000  4 W 2.86, 2 Br 3.01
Cr1 0.8644 0.3644 0.5000  6 W 2.55-2.79, 1 Cr 2.85
Cr2 0.6356 0.8644 0.5000  6 W 2.55-2.79, 1 Cr 2.85
Cr3 0.1356 0.6356 0.5000  6 W 2.55-2.79, 1 Cr 2.85
Cr4 0.3644 0.1356 0.5000  6 W 2.55-2.79, 1 Cr 2.85
W1 0.3590 0.8590 0.0000  6 Cr 2.55-2.79
W2 0.6410 0.1410 0.0000  6 Cr 2.55-2.79
W3 0.8590 0.6410 0.0000  6 Cr 2.55-2.79
W4 0.1410 0.3590 0.0000  6 Cr 2.55-2.79


[7]
Here is Cr4WBr after structural relaxation from Alexandria. Energies are from GGA-PBE.

Total magnetization   0.000 μB/cell
Energy   -48.3 eV for the cell shown
Space-group type   No. 216

a b c (Å): 4.8839 4.8839 4.8839
angles (deg): 60.00 60.00 60.00
With the nearest neighbours (Å) after each atom.
Fractional positions:
Cr1 0.6247 0.6247 0.1260  6 Cr 2.44-2.45
Cr2 0.1260 0.6247 0.6247  6 Cr 2.44-2.45
Cr3 0.6247 0.6247 0.6247  6 Cr 2.44-2.45
Cr4 0.6247 0.1260 0.6247  6 Cr 2.44-2.45
W1 0.2500 0.2500 0.2500  12 Cr 2.86, 4 Br 2.99
Br1 0.0000 0.0000 0.0000  12 Cr 2.86, 4 W 2.99


[8]
Here is CrW3Br after structural relaxation from Alexandria. Energies are from GGA-PBE.

Total magnetization   0.000 μB/cell
Relative energy among the computed polymorphs   0.000 eV per atom
Space-group type   No. 221

a b c (Å): 4.5905 4.5905 4.5905
angles (deg): 90.00 90.00 90.00
With the nearest neighbours (Å) after each atom.
Fractional positions:
W1 0.0000 0.5000 0.0000  2 Cr 2.30
W2 0.0000 0.0000 0.5000  2 Cr 2.30
W3 0.5000 0.0000 0.0000  2 Cr 2.30
Br1 0.5000 0.5000 0.5000  12 W 3.25
Cr1 0.0000 0.0000 0.0000  6 W 2.30


[9]
Here is Cr2WBr after structural relaxation from Alexandria. Energies are from GGA-PBE.

Total magnetization   4.228 μB/cell
Relative energy among the computed polymorphs   0.000 eV per atom
Space-group type   No. 47

a b c (Å): 3.0943 3.1706 7.1928
angles (deg): 89.94 90.00 90.00
With the nearest neighbours (Å) after each atom.
Fractional positions:
Br1 0.5000 0.7500 0.7500  4 Cr 2.67
Cr1 0.0000 0.7505 0.0529  4 W 2.63, 2 Br 2.67, 1 Cr 2.84
Cr2 0.0000 0.7495 0.4471  4 W 2.63, 2 Br 2.67, 1 Cr 2.84
W1 0.5000 0.2500 0.2500  8 Cr 2.63


[10]
Here is Cr2WBr after structural relaxation from Alexandria. Energies are from GGA-PBE.

Total magnetization   3.115 μB/cell
Relative energy among the computed polymorphs   0.499 eV per atom
Space-group type   No. 65

a b c (Å): 4.5343 4.5343 3.0161
angles (deg): 89.98 89.98 101.64
With the nearest neighbours (Å) after each atom.
Fractional positions:
Cr1 0.5000 0.5000 0.0000  4 W 2.72, 4 Br 2.72, 4 Cr 2.86-3.02
Cr2 0.0000 0.0000 0.0000  4 Br 2.72, 4 W 2.72, 4 Cr 2.86-3.02
Br1 0.0000 0.5000 0.5000  8 Cr 2.72, 2 W 2.86, 2 Br 3.02
W1 0.5000 0.0000 0.5000  8 Cr 2.72, 2 Br 2.86, 2 W 3.02


[11]
Here is CrW2Br2 after structural relaxation from Alexandria. Energies are from GGA-PBE.

Total magnetization   6.402 μB/cell
Relative energy among the computed polymorphs   0.058 eV per atom
Space-group type   No. 127

a b c (Å): 7.8060 7.8060 2.9090
angles (deg): 90.00 90.00 90.00
With the nearest neighbours (Å) after each atom.
Fractional positions:
W1 0.3246 0.1754 0.5000  6 Br 2.56-2.84
W2 0.1754 0.6754 0.5000  6 Br 2.56-2.84
W3 0.8246 0.3246 0.5000  6 Br 2.56-2.84
W4 0.6754 0.8246 0.5000  6 Br 2.56-2.84
Br1 0.8657 0.6343 0.0000  6 W 2.56-2.84
Br2 0.3657 0.8657 0.0000  6 W 2.56-2.84
Br3 0.1343 0.3657 0.0000  6 W 2.56-2.84
Br4 0.6343 0.1343 0.0000  6 W 2.56-2.84
Cr1 0.5000 0.5000 0.0000  2 Cr 2.91, 4 Br 3.04, 8 W 3.23
Cr2 0.0000 0.0000 0.0000  2 Cr 2.91, 4 Br 3.04, 8 W 3.23


[12]
Here is Cr2WBr after structural relaxation from Alexandria. Energies are from GGA-PBE.

Total magnetization   5.378 μB/cell
Relative energy among the computed polymorphs   0.228 eV per atom
Space-group type   No. 65

a b c (Å): 3.0400 3.0400 8.0520
angles (deg): 90.00 90.00 111.93
With the nearest neighbours (Å) after each atom.
Fractional positions:
W1 0.5000 0.5000 0.2500  4 Cr 2.52
Br1 0.5000 0.5000 0.7500  4 Cr 2.76, 4 Br 3.04
Cr1 0.0000 0.0000 0.0194  2 W 2.52, 2 Br 2.76
Cr2 0.0000 0.0000 0.4806  2 W 2.52, 2 Br 2.76